Here is a geometry-optimized Sc2BeRh structure from Alexandria via LeMat-Bulk. Energies are from PBE-GGA.

The formation energy comes out at -0.002 eV/atom. Its density is 4.74 g/cm³. The total energy comes out at -5.94 eV per atom.

It has space group I-42d (No. 122), with a = 7.197 Å, b = 7.197 Å, c = 5.465 Å, α = 90.00°, β = 90.00° and γ = 90.00°. The asymmetric unit holds Sc at (0.232, 0.250, 0.125), Be at (0.000, 0.000, 0.500) and Rh at (0.000, 0.000, 0.000).

Here is a geometry-optimized ThPaReHg structure from Alexandria via LeMat-Bulk. Energies are from PBE-GGA.

The formation energy comes out at -0.076 eV/atom. Its density is 14.49 g/cm³. The total energy comes out at -7.49 eV per atom.

It has space group P4mm (No. 99), with a = 3.337 Å, b = 3.337 Å, c = 8.747 Å, α = 90.00°, β = 90.00° and γ = 90.00°. The asymmetric unit holds Th at (0.000, 0.000, 0.000), Pa at (0.000, 0.000, 0.421), Re at (0.500, 0.500, 0.227) and Hg at (0.500, 0.500, 0.706).

Here is a geometry-optimized ErCu9Ni3 structure from Alexandria via LeMat-Bulk. Energies are from PBE-GGA.

The formation energy comes out at -0.113 eV/atom. Its density is 9.03 g/cm³. The total energy comes out at -4.63 eV per atom.

It has space group C2/m (No. 12), with a = 4.828 Å, b = 11.793 Å, c = 6.350 Å, α = 90.00°, β = 111.49° and γ = 90.00°. The asymmetric unit holds Er at (0.000, 0.000, 0.000), Cu at (0.000, 0.500, 0.500), Cu at (0.110, 0.389, 0.220), Cu at (0.165, 0.177, 0.349), Ni at (0.000, 0.000, 0.500) and Ni at (0.250, 0.250, 0.000).

Here is a geometry-optimized Pm2Zn3Ga4Hg structure from Alexandria via LeMat-Bulk. Energies are from PBE-GGA.

The formation energy comes out at -0.432 eV/atom. Its density is 8.07 g/cm³. The total energy comes out at -3.00 eV per atom.

It has space group P-4m2 (No. 115), with a = 4.292 Å, b = 4.292 Å, c = 10.786 Å, α = 90.00°, β = 90.00° and γ = 90.00°. The asymmetric unit holds Pm at (0.000, 0.500, 0.242), Zn at (0.000, 0.500, 0.870), Zn at (0.500, 0.500, 0.500), Ga at (0.000, 0.000, 0.000), Ga at (0.000, 0.500, 0.646), Ga at (0.500, 0.500, 0.000) and Hg at (0.000, 0.000, 0.500).

Here is a geometry-optimized MgMoPd structure from Alexandria via LeMat-Bulk. Energies are from PBE-GGA.

The formation energy comes out at -0.191 eV/atom. Its density is 7.75 g/cm³. The total energy comes out at -6.06 eV per atom. The relative energy among the computed polymorphs comes out at 17.1 meV per atom.

It has space group P1 (No. 1), with a = 2.822 Å, b = 2.823 Å, c = 12.684 Å, α = 89.18°, β = 89.24° and γ = 73.98°. The asymmetric unit holds Mg at (0.000, 0.000, 0.000), Mg at (0.011, 0.015, 0.678), Mo at (0.030, 0.027, 0.330), Mo at (0.518, 0.522, 0.493), Pd at (0.483, 0.482, 0.162) and Pd at (0.503, 0.505, 0.840).

Here is a geometry-optimized BaCa3Rh structure from Alexandria via LeMat-Bulk. Energies are from PBE-GGA.

The formation energy comes out at 1.512 eV/atom. Its density is 3.35 g/cm³. The total energy comes out at -1.54 eV per atom. The relative energy among the computed polymorphs comes out at 1740.7 meV per atom.

It has space group Pm-3m (No. 221), with a = 5.635 Å, b = 5.635 Å, c = 5.635 Å, α = 90.00°, β = 90.00° and γ = 90.00°. The asymmetric unit holds Ba at (0.000, 0.000, 0.000), Ca at (0.000, 0.000, 0.500) and Rh at (0.500, 0.500, 0.500).